Record 1
Y6HoTl | PBE | optimized geometry

## Properties
* V: 31.5 Å³/atom
* energy of formation from the pure elements: 0.0043 eV/atom
* energy above the most stable polymorph in this dataset: 81 meV per atom

Cell: 6.3349 6.3349 6.3349 Å, 93.99 93.99 93.99°
Fractional coordinates of all 8 atoms:
Y1 0.0358 0.5459 0.7581
Y2 0.2419 0.9642 0.4541
Y3 0.4541 0.2419 0.9642
Y4 0.5459 0.7581 0.0358
Y5 0.7581 0.0358 0.5459
Y6 0.9642 0.4541 0.2419
Ho1 0.5000 0.5000 0.5000
Tl1 0.0000 0.0000 0.0000

Record 2
SnHgPbCl6 | PBE | optimized geometry

## Properties
* uncorrected formation energy: -0.887 eV/atom
* V: 30.7 Å³/atom

Cell: 7.0820 7.0820 12.7023 Å, 90.00 90.00 120.00°
Fractional coordinates of all 18 atoms:
Sn1 0.3333 0.6667 0.2500
Sn2 0.6667 0.3333 0.7500
Hg1 0.3333 0.6667 0.7500
Hg2 0.6667 0.3333 0.2500
Pb1 0.0000 0.0000 0.0000
Pb2 0.0000 0.0000 0.5000
Cl1 0.0152 0.3526 0.6278
Cl2 0.0152 0.6626 0.8722
Cl3 0.3374 0.3526 0.8722
Cl4 0.3374 0.9848 0.6278
Cl5 0.3526 0.0152 0.1278
Cl6 0.3526 0.3374 0.3722
Cl7 0.6474 0.6626 0.6278
Cl8 0.6474 0.9848 0.8722
Cl9 0.6626 0.0152 0.3722
Cl10 0.6626 0.6474 0.1278
Cl11 0.9848 0.3374 0.1278
Cl12 0.9848 0.6474 0.3722